! LiTi2P3O12, optimized geometry, DFT PBEsol; values from VASP
&SYSTEM
  ibrav = 0, nat = 72, ntyp = 4
/
ATOMIC_SPECIES
Li 6.94 Li.upf
Ti 47.87 Ti.upf
P 30.97 P.upf
O 16.00 O.upf
ATOMIC_POSITIONS crystal
Li 0.0312 0.0718 0.0000
Li 0.4688 0.0718 0.5000
Li 0.5312 0.9282 0.0000
Li 0.9688 0.9282 0.5000
Ti 0.0011 0.3722 0.7503
Ti 0.0048 0.8611 0.8204
Ti 0.4952 0.8611 0.3204
Ti 0.4989 0.3722 0.2503
Ti 0.5011 0.6278 0.7503
Ti 0.5048 0.1389 0.8204
Ti 0.9952 0.1389 0.3204
Ti 0.9989 0.6278 0.2503
P 0.1438 0.3960 0.3934
P 0.1461 0.1047 0.6745
P 0.2135 0.7463 0.5328
P 0.2865 0.7463 0.0328
P 0.3539 0.1047 0.1745
P 0.3562 0.3960 0.8934
P 0.6438 0.6040 0.3934
P 0.6461 0.8953 0.6745
P 0.7135 0.2537 0.5328
P 0.7865 0.2537 0.0328
P 0.8539 0.8953 0.1745
P 0.8562 0.6040 0.8934
O 0.0668 0.4777 0.2806
O 0.0779 0.0201 0.7929
O 0.0866 0.2762 0.3501
O 0.0892 0.2202 0.7199
O 0.0905 0.0710 0.5090
O 0.0985 0.4188 0.5616
O 0.1059 0.8279 0.6240
O 0.1080 0.6734 0.4338
O 0.1741 0.0957 0.1766
O 0.1798 0.4013 0.8762
O 0.1851 0.6758 0.1379
O 0.1861 0.8236 0.9284
O 0.3139 0.8236 0.4284
O 0.3149 0.6758 0.6379
O 0.3202 0.4013 0.3762
O 0.3259 0.0957 0.6766
O 0.3920 0.6734 0.9338
O 0.3941 0.8279 0.1240
O 0.4015 0.4188 0.0616
O 0.4095 0.0710 0.0091
O 0.4108 0.2202 0.2199
O 0.4134 0.2762 0.8501
O 0.4221 0.0201 0.2929
O 0.4332 0.4777 0.7806
O 0.5668 0.5223 0.2806
O 0.5779 0.9799 0.7929
O 0.5866 0.7238 0.3501
O 0.5892 0.7798 0.7199
O 0.5905 0.9290 0.5090
O 0.5985 0.5812 0.5616
O 0.6059 0.1721 0.6240
O 0.6080 0.3266 0.4338
O 0.6741 0.9043 0.1766
O 0.6798 0.5987 0.8762
O 0.6851 0.3242 0.1379
O 0.6861 0.1764 0.9284
O 0.8139 0.1764 0.4284
O 0.8149 0.3242 0.6379
O 0.8202 0.5987 0.3762
O 0.8259 0.9043 0.6766
O 0.8920 0.3266 0.9338
O 0.8941 0.1721 0.1240
O 0.9015 0.5812 0.0616
O 0.9095 0.9290 0.0091
O 0.9108 0.7798 0.2199
O 0.9134 0.7238 0.8501
O 0.9221 0.9799 0.2929
O 0.9332 0.5223 0.7806
CELL_PARAMETERS angstrom
8.5877 0.0000 0.0000
0.0000 11.9597 0.0000
0.0000 0.0000 8.6235
! * distance to the lowest polymorph of the same formula: 0.10 eV/f.u.
! * density of states at the Fermi level: 0.00 states/eV/f.u.
! * space-group type: Pca2_1, No. 29
! * formation energy from raw total energies: -2.57 eV per atom
! * magnetic moment: 0.00 μB/f.u.



! Li3Ti2P3O12, optimized geometry, DFT PBEsol; values from VASP
&SYSTEM
  ibrav = 0, nat = 80, ntyp = 4
/
ATOMIC_SPECIES
Li 6.94 Li.upf
Ti 47.87 Ti.upf
P 30.97 P.upf
O 16.00 O.upf
ATOMIC_POSITIONS crystal
Li 0.0296 0.2325 0.3210
Li 0.0296 0.2675 0.8210
Li 0.3102 0.1977 0.2425
Li 0.3102 0.3023 0.7425
Li 0.3784 0.5788 0.3003
Li 0.3784 0.9212 0.8003
Li 0.6216 0.0788 0.1997
Li 0.6216 0.4212 0.6997
Li 0.6898 0.6977 0.2575
Li 0.6898 0.8023 0.7575
Li 0.9704 0.7325 0.1790
Li 0.9704 0.7675 0.6790
Ti 0.1363 0.5443 0.3892
Ti 0.1363 0.9557 0.8892
Ti 0.3633 0.5322 0.1105
Ti 0.3633 0.9678 0.6105
Ti 0.6367 0.0322 0.3895
Ti 0.6367 0.4678 0.8895
Ti 0.8637 0.0443 0.1108
Ti 0.8637 0.4557 0.6108
P 0.0457 0.0975 0.6489
P 0.0457 0.4025 0.1489
P 0.2521 0.6144 0.6491
P 0.2521 0.8856 0.1491
P 0.4548 0.2469 0.9915
P 0.4548 0.2531 0.4915
P 0.5452 0.7469 0.5085
P 0.5452 0.7531 0.0085
P 0.7479 0.1144 0.8509
P 0.7479 0.3856 0.3509
P 0.9543 0.5975 0.8511
P 0.9543 0.9025 0.3511
O 0.0299 0.2403 0.1871
O 0.0299 0.2597 0.6871
O 0.0735 0.5276 0.2319
O 0.0735 0.9724 0.7319
O 0.0934 0.5915 0.6636
O 0.0934 0.9085 0.1636
O 0.1217 0.5575 0.9662
O 0.1217 0.9425 0.4662
O 0.1819 0.5879 0.5291
O 0.1819 0.9121 0.0291
O 0.2350 0.1029 0.6621
O 0.2350 0.3971 0.1621
O 0.2645 0.1613 0.9273
O 0.2645 0.3387 0.4273
O 0.3260 0.7189 0.1848
O 0.3260 0.7811 0.6848
O 0.3820 0.6381 0.4278
O 0.3820 0.8619 0.9278
O 0.4080 0.0077 0.2212
O 0.4080 0.4923 0.7212
O 0.4485 0.1285 0.5621
O 0.4485 0.3715 0.0621
O 0.4766 0.1856 0.4038
O 0.4766 0.3144 0.9038
O 0.5234 0.6856 0.0962
O 0.5234 0.8144 0.5962
O 0.5515 0.6285 0.9379
O 0.5515 0.8715 0.4379
O 0.5920 0.5077 0.2788
O 0.5920 0.9923 0.7788
O 0.6180 0.1381 0.0722
O 0.6180 0.3619 0.5722
O 0.6740 0.2189 0.3152
O 0.6740 0.2811 0.8152
O 0.7355 0.6613 0.5727
O 0.7355 0.8387 0.0727
O 0.7650 0.6029 0.8379
O 0.7650 0.8971 0.3379
O 0.8181 0.0879 0.9709
O 0.8181 0.4121 0.4709
O 0.8783 0.0575 0.5338
O 0.8783 0.4425 0.0338
O 0.9066 0.0915 0.8364
O 0.9066 0.4085 0.3364
O 0.9265 0.0276 0.2681
O 0.9265 0.4724 0.7681
O 0.9701 0.7403 0.3129
O 0.9701 0.7597 0.8129
CELL_PARAMETERS angstrom
8.7844 0.0000 0.0000
0.0000 8.6882 0.0000
-8.7017 0.0000 12.0921
! * distance to the lowest polymorph of the same formula: 0.00 eV/f.u.
! * density of states at the Fermi level: 10.35 states/eV/f.u.
! * space-group type: P2_1/c, No. 14
! * formation energy from raw total energies: -2.48 eV per atom
! * magnetic moment: 2.00 μB/f.u.



! LiTi2P3O12, optimized geometry, DFT PBEsol; values from VASP
&SYSTEM
  ibrav = 0, nat = 36, ntyp = 4
/
ATOMIC_SPECIES
Li 6.94 Li.upf
Ti 47.87 Ti.upf
P 30.97 P.upf
O 16.00 O.upf
ATOMIC_POSITIONS crystal
Li 0.2493 0.2493 0.2486
Li 0.7507 0.7507 0.7514
Ti 0.1082 0.1108 0.3908
Ti 0.3894 0.3919 0.1095
Ti 0.6081 0.6106 0.8905
Ti 0.8892 0.8918 0.6092
P 0.2079 0.7921 0.0000
P 0.2896 0.7104 0.5000
P 0.4988 0.2104 0.7092
P 0.7079 0.0012 0.2091
P 0.7896 0.5012 0.2908
P 0.9988 0.2921 0.7909
O 0.0152 0.8073 0.8350
O 0.0597 0.2485 0.6268
O 0.1253 0.7542 0.5607
O 0.1639 0.3071 0.9835
O 0.1927 0.9848 0.1650
O 0.2458 0.8747 0.4393
O 0.2516 0.6280 0.0608
O 0.3049 0.5179 0.3349
O 0.3338 0.1951 0.5166
O 0.3720 0.7484 0.9392
O 0.4380 0.2543 0.8734
O 0.4821 0.6951 0.6651
O 0.5152 0.1662 0.1938
O 0.5596 0.3746 0.7529
O 0.6254 0.4404 0.2471
O 0.6639 0.0179 0.6941
O 0.6929 0.8361 0.0165
O 0.7457 0.5620 0.1266
O 0.7515 0.9403 0.3732
O 0.8049 0.6662 0.4834
O 0.8338 0.4848 0.8062
O 0.8721 0.0622 0.2531
O 0.9378 0.1279 0.7469
O 0.9821 0.3361 0.3059
CELL_PARAMETERS angstrom
7.3475 -4.2768 0.0000
7.3475 4.2768 0.0000
-4.8584 0.0000 6.9768
! * distance to the lowest polymorph of the same formula: 0.00 eV/f.u.
! * density of states at the Fermi level: 0.00 states/eV/f.u.
! * space-group type: C2, No. 5
! * formation energy from raw total energies: -2.58 eV per atom
! * magnetic moment: 0.00 μB/f.u.



- Which of these has the lowest formation energy from raw total energies?
  number 3